# 1
DFT (PBE) results for crystalline Be2NbNi2 at its relaxed geometry.

POSCAR file:
```
Be2NbNi2
1.0
6.6081 0.0000 0.0000
0.0000 6.6081 0.0000
0.0000 0.0000 2.5452
Be Nb Ni
4 2 4
Direct
0.1176 0.3824 0.0000
0.3824 0.8824 0.0000
0.6176 0.1176 0.0000
0.8824 0.6176 0.0000
0.0000 0.0000 0.0000
0.5000 0.5000 0.0000
0.1728 0.6728 0.5000
0.3272 0.1728 0.5000
0.6728 0.8272 0.5000
0.8272 0.3272 0.5000
```

## Properties
SG   No. 127
Calculated density   6.823 g/cm³
Offset from the most stable computed form   0.0000 eV/atom
Total moment   0.000 μB per formula unit
D(E_F)   3.25 states/eV/f.u.

# 2
DFT (PBE) results for crystalline Sr3Ga2SnO8 at its relaxed geometry.

POSCAR file:
```
Sr3Ga2SnO8
1.0
5.7371 0.0000 0.0000
-2.8685 4.9685 0.0000
0.0000 0.0000 7.2121
Sr Ga Sn O
3 2 1 8
Direct
0.0000 0.0000 0.0000
0.3333 0.6667 0.6485
0.6667 0.3333 0.3515
0.3333 0.6667 0.2068
0.6667 0.3333 0.7932
0.0000 0.0000 0.5000
0.1647 0.3295 0.3253
0.1647 0.8353 0.3253
0.3295 0.1647 0.6747
0.3333 0.6667 0.9623
0.6667 0.3333 0.0377
0.6705 0.8353 0.3253
0.8353 0.1647 0.6747
0.8353 0.6705 0.6747
```

## Properties
SG   No. 164
Calculated density   5.242 g/cm³
Total moment   0.000 μB per formula unit
Raw formation energy   -31.02 eV/f.u.
D(E_F)   0.00 states/eV/f.u.